1.
GGA-PBE CrOs2Se, optimized geometry; total moment = 1.5 μB per cell; uncorrected formation energy = 0.734 eV per atom; crystal system = orthorhombic; calculated volume = 65 Å³ per cell; space group = No. 35
1.0
-1.195 2.222 -1.039
-0.118 -2.313 -1.443
-8.404 -2.399 4.531
Cr Os Se
1 2 1
Cartesian
-7.053 -1.871 2.208
-8.221 -2.347 4.433
-2.386 -0.539 -0.309
-4.663 -1.331 2.514


2.
GGA-PBE RbGe4Au9, optimized geometry; total moment = 0.0 μB per cell; crystal system = tetragonal; calculated volume = 590 Å³ per cell; space group = No. 140; formation energy = -0.051 eV/atom
1.0
8.441 0.000 -4.760
-2.684 8.003 -4.760
-0.329 -0.457 9.282
Rb Ge Au
2 8 18
Cartesian
4.154 5.774 -2.498
1.275 1.772 2.261
0.420 6.450 -3.156
6.585 3.286 -4.152
2.784 5.098 1.037
1.069 0.259 5.797
5.009 1.096 2.919
-1.156 4.260 3.915
4.360 7.288 -6.034
2.645 2.449 -1.274
-0.506 1.641 -1.001
6.264 6.362 -8.518
3.473 2.361 -3.809
2.284 5.643 -5.711
1.162 3.960 -3.759
4.596 4.044 -5.761
-0.939 7.962 -5.711
6.696 0.042 -3.809
-1.342 4.002 -2.380
4.221 0.000 -2.380
5.880 2.307 -1.880
4.454 0.325 0.478
7.202 1.238 0.464
4.446 3.220 0.464
-0.451 5.239 1.643
0.975 7.222 -0.715
0.982 4.326 -0.701
-1.773 6.309 -0.701


3.
GGA-PBE NbGaTe2Os, optimized geometry; total moment = 2.6 μB per cell; uncorrected formation energy = 0.946 eV per atom; crystal system = tetragonal; calculated volume = 130 Å³ per cell; space group = No. 123
1.0
-1.538 0.964 -4.979
3.289 -2.866 -1.571
-3.404 -4.053 0.266
Nb Te Os Ga
1 2 1 1
Cartesian
-0.826 -2.977 -3.142
-1.702 -2.027 0.133
-0.769 0.482 -2.489
0.000 0.000 0.000
1.645 -1.433 -0.785


4.
GGA-PBE Cs3InTe, optimized geometry; total moment = 2.0 μB per cell; uncorrected formation energy = -0.309 eV per atom; crystal system = cubic; energy above the lowest structure with this stoichiometry = 0 meV per atom; calculated volume = 398 Å³ per cell; space group = No. 221
1.0
-4.694 0.208 -5.656
5.410 -1.994 -4.563
-1.663 -7.074 1.120
Cs Te In
3 1 1
Cartesian
2.705 -0.997 -2.282
-0.831 -3.537 0.560
-2.347 0.104 -2.828
0.000 0.000 0.000
-0.474 -4.430 -4.550


Question: Which formula does entry 2 have?
Answer: RbGe4Au9


Question: What is the total moment in the first record?
Answer: 1.5 μB per cell


Question: Which value of total moment does entry 1 give?
Answer: 1.5 μB per cell


Copy entry 1 word for word.
GGA-PBE CrOs2Se, optimized geometry; total moment = 1.5 μB per cell; uncorrected formation energy = 0.734 eV per atom; crystal system = orthorhombic; calculated volume = 65 Å³ per cell; space group = No. 35
1.0
-1.195 2.222 -1.039
-0.118 -2.313 -1.443
-8.404 -2.399 4.531
Cr Os Se
1 2 1
Cartesian
-7.053 -1.871 2.208
-8.221 -2.347 4.433
-2.386 -0.539 -0.309
-4.663 -1.331 2.514